a.
CaMnS2N: relaxed, PBE.

Space-group type: No. 123

Lattice parameters (Å, degrees): 4.811 4.811 3.568 90.00 90.00 90.00
Each line ends with the local moment (μB).
Atoms (fractional coordinates):
Ca 0.500 0.500 0.500  0.01
Mn 0.000 0.000 0.000  2.22
S 0.000 0.500 0.000  -0.02
S 0.500 0.000 0.000  -0.02
N 0.000 0.000 0.500  -0.33

***

b.
CaMnS2N: relaxed, PBE.

Space-group type: No. 123

Lattice parameters (Å, degrees): 5.242 5.242 4.417 90.00 90.00 90.00
Each line ends with the local moment (μB).
Atoms (fractional coordinates):
Ca 0.000 0.000 0.000  0.03
Mn 0.500 0.500 0.500  4.54
S 0.000 0.500 0.000  -0.01
S 0.500 0.000 0.000  -0.01
N 0.000 0.000 0.500  1.42

***

Stability check: which of them is least stable? b.

***

a.
CaMnSe2N: relaxed, PBE.

Space-group type: No. 123

Lattice parameters (Å, degrees): 5.413 5.413 4.272 90.00 90.00 90.00
Each line ends with the local moment (μB).
Atoms (fractional coordinates):
Ca 0.000 0.000 0.000  0.02
Mn 0.500 0.500 0.500  4.50
Se 0.000 0.500 0.000  -0.10
Se 0.500 0.000 0.000  -0.10
N 0.000 0.000 0.500  0.10

***

b.
CaMnSe2N: relaxed, PBE.

Space-group type: No. 123

Lattice parameters (Å, degrees): 5.124 5.124 3.565 90.00 90.00 90.00
Each line ends with the local moment (μB).
Atoms (fractional coordinates):
Ca 0.500 0.500 0.500  0.01
Mn 0.000 0.000 0.000  2.37
Se 0.000 0.500 0.000  -0.06
Se 0.500 0.000 0.000  -0.06
N 0.000 0.000 0.500  -0.34

***

Stability check: which of them is least stable? a.

***

a.
CaMnTe2N: relaxed, PBE.

Space-group type: No. 123

Lattice parameters (Å, degrees): 5.566 5.566 3.585 90.00 90.00 90.00
Each line ends with the local moment (μB).
Atoms (fractional coordinates):
Ca 0.500 0.500 0.500  0.02
Te 0.000 0.500 0.000  -0.05
Te 0.500 0.000 0.000  -0.05
Mn 0.000 0.000 0.000  2.35
N 0.000 0.000 0.500  -0.34

***

b.
CaMnTe2N: relaxed, PBE.

Space-group type: No. 123

Lattice parameters (Å, degrees): 5.815 5.815 4.054 90.00 90.00 90.00
Each line ends with the local moment (μB).
Atoms (fractional coordinates):
Ca 0.000 0.000 0.000  0.00
Te 0.000 0.500 0.000  0.05
Te 0.500 0.000 0.000  0.05
Mn 0.500 0.500 0.500  0.24
N 0.000 0.000 0.500  -0.02

***

Stability check: which of them is least stable? b.

***

a.
CaMnTeN2: relaxed, PBE.

Space-group type: No. 123

Lattice parameters (Å, degrees): 4.481 4.481 6.430 90.00 90.00 90.00
Each line ends with the local moment (μB).
Atoms (fractional coordinates):
Ca 0.000 0.000 0.000  0.05
Te 0.000 0.000 0.500  0.12
Mn 0.500 0.500 0.500  4.48
N 0.000 0.500 0.000  1.30
N 0.500 0.000 0.000  1.30

***

b.
CaMnTeN2: relaxed, PBE.

Space-group type: No. 123

Lattice parameters (Å, degrees): 3.970 3.970 5.424 90.00 90.00 90.00
Each line ends with the local moment (μB).
Atoms (fractional coordinates):
Ca 0.500 0.500 0.500  0.02
Te 0.000 0.000 0.500  -0.06
Mn 0.000 0.000 0.000  2.14
N 0.000 0.500 0.000  -0.54
N 0.500 0.000 0.000  -0.54

***

Stability check: which of them is least stable? a.

***

a.
NaCaMn2: relaxed, PBE.

Space-group type: No. 122

Lattice parameters (Å, degrees): 8.146 8.146 6.450 50.84 50.84 90.00
Each line ends with the local moment (μB).
Atoms (fractional coordinates):
Na 0.500 0.500 0.000  -0.02
Na 0.250 0.750 0.500  -0.02
Ca 0.000 0.000 0.000  -0.09
Ca 0.750 0.250 0.500  -0.09
Mn 0.612 0.125 0.250  3.86
Mn 0.138 0.625 0.250  3.87
Mn 0.375 0.388 0.750  3.85
Mn 0.875 0.862 0.750  3.86

***

b.
NaCaMn2: relaxed, PBE.

Space-group type: No. 225

Lattice parameters (Å, degrees): 5.158 5.158 5.158 60.00 60.00 60.00
Each line ends with the local moment (μB).
Atoms (fractional coordinates):
Na 0.000 0.000 0.000  -0.03
Ca 0.500 0.500 0.500  -0.07
Mn 0.250 0.250 0.250  3.91
Mn 0.750 0.750 0.750  3.91

***

Stability check: which of them is least stable? a.

***

a.
NaCa3Mn: relaxed, PBE.

Space-group type: No. 221

Lattice parameters (Å, degrees): 5.690 5.690 5.690 90.00 90.00 90.00
Each line ends with the local moment (μB).
Atoms (fractional coordinates):
Na 0.500 0.500 0.500  -0.01
Ca 0.000 0.500 0.000  -0.06
Ca 0.000 0.000 0.500  -0.10
Ca 0.500 0.000 0.000  -0.04
Mn 0.000 0.000 0.000  2.96

***

b.
NaCa3Mn: relaxed, PBE.

Space-group type: No. 221

Lattice parameters (Å, degrees): 5.894 5.894 5.894 90.00 90.00 90.00
Each line ends with the local moment (μB).
Atoms (fractional coordinates):
Na 0.000 0.000 0.000  0.00
Ca 0.000 0.500 0.000  0.02
Ca 0.000 0.000 0.500  0.02
Ca 0.500 0.000 0.000  0.03
Mn 0.500 0.500 0.500  -4.36

***

Stability check: which of them is least stable? b.

***

a.
Ca2MnNb: relaxed, PBE.

Space-group type: No. 122

Lattice parameters (Å, degrees): 10.976 10.976 8.060 47.09 47.09 90.00
Atoms (fractional coordinates):
Nb 0.000 0.000 0.000
Nb 0.750 0.250 0.500
Mn 0.500 0.500 0.000
Mn 0.250 0.750 0.500
Ca 0.461 0.125 0.250
Ca 0.289 0.625 0.250
Ca 0.375 0.539 0.750
Ca 0.875 0.711 0.750

***

b.
Ca2MnNb: relaxed, PBE.

Space-group type: No. 225

Lattice parameters (Å, degrees): 5.033 5.033 5.033 60.00 60.00 60.00
Atoms (fractional coordinates):
Nb 0.500 0.500 0.500
Mn 0.000 0.000 0.000
Ca 0.250 0.250 0.250
Ca 0.750 0.750 0.750

***

Stability check: which of them is least stable? b.

***

a.
CaMnNb3: relaxed, PBE.

Space-group type: No. 221

Lattice parameters (Å, degrees): 4.743 4.743 4.743 90.00 90.00 90.00
Atoms (fractional coordinates):
Nb 0.000 0.500 0.000
Nb 0.000 0.000 0.500
Nb 0.500 0.000 0.000
Mn 0.000 0.000 0.000
Ca 0.500 0.500 0.500

***

b.
CaMnNb3: relaxed, PBE.

Space-group type: No. 221

Lattice parameters (Å, degrees): 4.648 4.648 4.648 90.00 90.00 90.00
Atoms (fractional coordinates):
Nb 0.000 0.500 0.000
Nb 0.000 0.000 0.500
Nb 0.500 0.000 0.000
Mn 0.500 0.500 0.500
Ca 0.000 0.000 0.000

***

Stability check: which of them is least stable? b.